Record 1
# DyYZn2

A relaxed DyYZn2 crystal (PBE, Alexandria via LeMat-Bulk).

The calculation puts the total energy at -3.76 eV per atom. The calculation puts the offset from the most stable computed form at 0.0 meV per atom.

The space group is Fm-3m (No. 225) and the conventional cell measures 7.152, 7.152 and 7.152 Å, with angles of 90.00, 90.00 and 90.00 degrees. Symmetry generates all atoms from Dy at (0.000, 0.000, 0.000), Y at (0.000, 0.000, 0.500) and Zn at (0.250, 0.250, 0.250).

***

Record 2
# ScTl2F4

A relaxed ScTl2F4 crystal (PBE, Alexandria via LeMat-Bulk).

The calculation puts the total energy at -5.33 eV per atom. The calculation puts the offset from the most stable computed form at 0.0 meV per atom.

The space group is I4/mmm (No. 139) and the conventional cell measures 4.138, 4.138 and 16.318 Å, with angles of 90.00, 90.00 and 90.00 degrees. Symmetry generates all atoms from Sc at (0.000, 0.000, 0.000), Tl at (0.000, 0.000, 0.296), F at (0.000, 0.000, 0.123) and F at (0.000, 0.500, 0.000).

***

Record 3
# Sm6DyHo3Th2

A relaxed Sm6DyHo3Th2 crystal (PBE, Alexandria via LeMat-Bulk).

The calculation puts the total energy at -5.09 eV per atom.

The space group is C2/m (No. 12) and the conventional cell measures 6.214, 10.749 and 11.919 Å, with angles of 90.00, 100.00 and 90.00 degrees. Symmetry generates all atoms from Sm at (0.247, 0.000, 0.249), Sm at (0.249, 0.168, 0.751), Dy at (0.000, 0.500, 0.000), Ho at (0.000, 0.000, 0.500), Ho at (0.000, 0.333, 0.500) and Th at (0.000, 0.167, 0.000).

***

Q: Which formula does entry 2 have?
A: ScTl2F4